Compound: InPb2Cl6
Source: Alexandria via LeMat-Bulk
Functional: PBE-GGA
Structure: relaxed

Summary:
The total magnetization comes out at 0.0 μB/cell. The calculation puts the density of states at the Fermi level at 0.40 states/eV/atom. The uncorrected formation energy is -1039 meV per atom.

a = 6.7385 Å, b = 6.7385 Å, c = 12.9740 Å
α = 90.00°, β = 90.00°, γ = 90.00°
Closest atoms and distances in Å follow each position.
Sites, in units of the cell vectors:
In (0.0000, 0.0000, 0.0000)  6 Cl 2.78
In (0.5000, 0.5000, 0.5000)  6 Cl 2.78
Pb (0.0000, 0.0000, 0.3344)  6 Cl 2.90-2.95
Pb (0.0000, 0.0000, 0.6656)  6 Cl 2.90-2.95
Pb (0.5000, 0.5000, 0.1656)  6 Cl 2.90-2.95
Pb (0.5000, 0.5000, 0.8344)  6 Cl 2.90-2.95
Cl (0.1958, 0.1958, 0.1584)  1 In 2.78, 2 Pb 2.90-2.95
Cl (0.1958, 0.1958, 0.8416)  1 In 2.78, 2 Pb 2.90-2.95
Cl (0.2080, 0.2080, 0.5000)  1 In 2.78, 2 Pb 2.92
Cl (0.2920, 0.7080, 0.0000)  1 In 2.78, 2 Pb 2.92
Cl (0.3042, 0.6958, 0.3416)  1 In 2.78, 2 Pb 2.90-2.95
Cl (0.3042, 0.6958, 0.6584)  1 In 2.78, 2 Pb 2.90-2.95
Cl (0.6958, 0.3042, 0.3416)  1 In 2.78, 2 Pb 2.90-2.95
Cl (0.6958, 0.3042, 0.6584)  1 In 2.78, 2 Pb 2.90-2.95
Cl (0.7080, 0.2920, 0.0000)  1 In 2.78, 2 Pb 2.92
Cl (0.7920, 0.7920, 0.5000)  1 In 2.78, 2 Pb 2.92
Cl (0.8042, 0.8042, 0.1584)  1 In 2.78, 2 Pb 2.90-2.95
Cl (0.8042, 0.8042, 0.8416)  1 In 2.78, 2 Pb 2.90-2.95